Density functional theory data (PBE with a Hubbard U) for Rb2PmV2O7 after structural relaxation.

Output
Energy ... -0.508 Ry per atom

Lattice parameters (Å, degrees): 11.367 11.367 11.367 160.19 160.19 28.15
Atoms (fractional coordinates):
Rb (0.187, 0.187, 0.000)
Rb (0.813, 0.813, 0.000)
Pm (0.000, 0.000, 0.000)
V (0.410, 0.410, 0.000)
V (0.590, 0.590, 0.000)
O (0.078, 0.578, 0.500)
O (0.331, 0.331, 0.000)
O (0.422, 0.922, 0.500)
O (0.500, 0.500, 0.000)
O (0.578, 0.078, 0.500)
O (0.669, 0.669, 0.000)
O (0.922, 0.422, 0.500)